Entry from the Open Quantum Materials Database: an optimized crystal structure of NaNpCl6 (GGA-PBE).

Cell lengths 6.7059, 11.5977, 6.6100 Å; angles 90.00, 106.32, 90.00 degrees
Last column: nearest neighbours and their distance in Å.
Fractional coordinates of all 16 atoms:
Na (0.0000, 0.0000, 0.0000)  6 Cl 2.80-2.81
Na (0.5000, 0.5000, 0.0000)  6 Cl 2.80-2.81
Np (0.0000, 0.5000, 0.5000)  6 Cl 2.52-2.53
Np (0.5000, 0.0000, 0.5000)  6 Cl 2.52-2.53
Cl (0.2199, 0.3481, 0.7341)  1 Np 2.53, 1 Na 2.80
Cl (0.2199, 0.6519, 0.7341)  1 Np 2.53, 1 Na 2.80
Cl (0.2444, 0.5000, 0.2723)  1 Np 2.52, 1 Na 2.81
Cl (0.2556, 0.0000, 0.7277)  1 Np 2.52, 1 Na 2.81
Cl (0.2801, 0.1519, 0.2659)  1 Np 2.53, 1 Na 2.80
Cl (0.2801, 0.8481, 0.2659)  1 Np 2.53, 1 Na 2.80
Cl (0.7199, 0.1519, 0.7341)  1 Np 2.53, 1 Na 2.80
Cl (0.7199, 0.8481, 0.7341)  1 Np 2.53, 1 Na 2.80
Cl (0.7444, 0.0000, 0.2723)  1 Np 2.52, 1 Na 2.81
Cl (0.7556, 0.5000, 0.7277)  1 Np 2.52, 1 Na 2.81
Cl (0.7801, 0.3481, 0.2659)  1 Np 2.53, 1 Na 2.80
Cl (0.7801, 0.6519, 0.2659)  1 Np 2.53, 1 Na 2.80

Computed properties:
The total DFT energy (no corrections) comes out at -4.710 eV per atom.